Record 1
DFT (GGA-PBE) results for a relaxed ErUPt6 crystal.

Cell: 4.128 4.128 8.246 Å, 90.00 90.00 90.00°
Sites, in units of the cell vectors:
Er1 0.000 0.000 0.000
U1 0.000 0.000 0.500
Pt1 0.500 0.500 0.000
Pt2 0.500 0.500 0.500
Pt3 0.500 0.000 0.253
Pt4 0.500 0.000 0.747
Pt5 0.000 0.500 0.253
Pt6 0.000 0.500 0.747

Results
**Density of states at the Fermi level**: 8.09 states/eV/cell
**Uncorrected energy**: -59.60 eV/f.u.
**Symmetry**: P4/mmm, No. 123
**Density**: 18.623 Mg/m³

---

Record 2
DFT (GGA-PBE) results for a relaxed ErU3Pt12 crystal.

Cell: 4.146 4.146 16.562 Å, 90.00 90.00 90.00°
Sites, in units of the cell vectors:
Er1 0.000 0.000 0.000
U1 0.000 0.000 0.247
U2 0.000 0.000 0.500
U3 0.000 0.000 0.753
Pt1 0.500 0.500 0.000
Pt2 0.500 0.500 0.249
Pt3 0.500 0.500 0.500
Pt4 0.500 0.500 0.751
Pt5 0.500 0.000 0.125
Pt6 0.500 0.000 0.374
Pt7 0.500 0.000 0.626
Pt8 0.500 0.000 0.875
Pt9 0.000 0.500 0.125
Pt10 0.000 0.500 0.374
Pt11 0.000 0.500 0.626
Pt12 0.000 0.500 0.875

Results
**Density of states at the Fermi level**: 19.74 states/eV/cell
**Uncorrected energy**: -124.19 eV/f.u.
**Symmetry**: P4/mmm, No. 123
**Density**: 18.795 Mg/m³

---

Total magnetization readings, ordered: 1.2; 5.2 μB/f.u.
ΔE_f readings, ordered: -0.937; -0.829 eV/atom